Record 1
DFT (PBE-GGA) results for Zr2TlCu after structural relaxation.

Properties
Volume ... 80 Å³/f.u.
Raw total energy ... -5.95 eV/atom
Formation energy from the elements ... -0.062 eV/atom
Density ... 9.320 g/cm³
Fermi-level density of states ... 7.45 states/eV/cell

a = 4.456 Å, b = 4.456 Å, c = 8.675 Å
α = 104.88°, β = 104.88°, γ = 90.00°
Atoms (fractional coordinates):
Zr 0.353 0.353 0.706
Zr 0.000 0.500 0.000
Zr 0.647 0.647 0.294
Zr 0.500 0.000 0.000
Cu 0.250 0.750 0.500
Cu 0.750 0.250 0.500
Tl 0.860 0.860 0.720
Tl 0.140 0.140 0.280

=====

Record 2
DFT (PBE-GGA) results for MoH3Rh after structural relaxation.

Properties
Volume ... 42 Å³/f.u.
Raw total energy ... -5.23 eV/atom
Density ... 8.077 g/cm³
Fermi-level density of states ... 2.11 states/eV/cell

a = 3.462 Å, b = 3.462 Å, c = 3.462 Å
α = 90.00°, β = 90.00°, γ = 90.00°
Atoms (fractional coordinates):
H 0.000 0.000 0.500
H 0.000 0.500 0.000
H 0.500 0.000 0.000
Rh 0.500 0.500 0.500
Mo 0.000 0.000 0.000

=====

Record 3
DFT (PBE-GGA) results for Na3AuO4 after structural relaxation.

Properties
Formation energy without anion corrections ... -0.8190 eV per atom
Volume ... 113 Å³/f.u.
Raw total energy ... -4.20 eV/atom
Density ... 4.859 g/cm³
Fermi-level density of states ... 4.76 states/eV/cell

a = 3.345 Å, b = 6.712 Å, c = 6.712 Å
α = 51.12°, β = 75.57°, γ = 75.57°
Each line ends with the local moment (μB).
Atoms (fractional coordinates):
Na 0.000 0.500 0.500  0.00
Na 0.229 0.771 0.771  0.00
Na 0.771 0.229 0.229  0.00
Au 0.500 0.000 0.000  0.30
O 0.380 0.359 0.882  0.35
O 0.620 0.118 0.641  0.35
O 0.620 0.641 0.118  0.35
O 0.380 0.882 0.359  0.35